{"formula": "OsPdSN", "functional": "PBE", "state": "optimized geometry", "relative_energy_mev_per_atom": 163, "e_form_raw_ev_per_atom": 0.3408, "lattice_angstrom": [[7.7126, 0.0000, 0.0176], [0.0000, 3.1910, 0.0000], [-0.0162, 0.0000, 5.6240]], "species": ["Os", "Os", "Pd", "Pd", "S", "S", "N", "N"], "fractional_positions": [[0.1103, 0.0000, 0.0834], [0.1103, 0.5000, 0.5834], [0.3830, 0.0000, 0.7544], [0.3830, 0.5000, 0.2544], [0.5654, 0.0000, 0.4233], [0.5654, 0.5000, 0.9233], [0.0365, 0.0000, 0.7535], [0.0365, 0.5000, 0.2535]]}

{"formula": "CaFe2Rh", "functional": "PBE", "state": "optimized geometry", "e_form_ev_per_fu": 1.2, "lattice_angstrom": [[4.4664, -0.0409, -0.0036], [0.0197, 4.4666, -0.0036], [-2.2455, -2.2153, 3.1760]], "species": ["Ca", "Rh", "Fe", "Fe"], "fractional_positions": [[0.7499, 0.2501, 0.5000], [0.5002, 0.4998, 0.0000], [0.9997, 0.0003, 0.0000], [0.2502, 0.7499, 0.5000]]}

{"formula": "LiInBIr2", "functional": "PBE", "state": "optimized geometry", "e_form_ev_per_fu": -1.6, "lattice_angstrom": [[4.1248, 0.0000, 0.0000], [0.0000, 4.1248, 0.0000], [0.0000, 0.0000, 4.1619]], "species": ["B", "Ir", "Ir", "Li", "In"], "fractional_positions": [[0.0000, 0.0000, 0.0000], [0.0000, 0.5000, 0.0000], [0.5000, 0.0000, 0.0000], [0.0000, 0.0000, 0.5000], [0.5000, 0.5000, 0.5000]]}